Record 1
{
  "formula": "KSn2Bi2",
  "functional": "PBE",
  "state": "relaxed",
  "lattice": [[9.119, 0.000, 0.000], [0.000, 9.119, 0.000], [0.000, 0.000, 4.030]],
  "species": ["K", "K", "Bi", "Bi", "Bi", "Bi", "Sn", "Sn", "Sn", "Sn"],
  "fractional_positions": [[0.000, 0.000, 0.000], [0.500, 0.500, 0.000], [0.156, 0.656, 0.500], [0.656, 0.844, 0.500], [0.844, 0.344, 0.500], [0.344, 0.156, 0.500], [0.375, 0.875, 0.000], [0.875, 0.625, 0.000], [0.625, 0.125, 0.000], [0.125, 0.375, 0.000]],
  "sg": "P4/mbm (127)",
  "polymorph_energy_kj_per_mol_atoms": 3.02,
  "energy_ev_per_atom": -3.4642
}

=====

Record 2
{
  "formula": "KSnBi3",
  "functional": "PBE",
  "state": "relaxed",
  "lattice": [[5.894, 0.000, 0.000], [0.000, 5.894, 0.000], [0.000, 0.000, 5.894]],
  "species": ["K", "Bi", "Bi", "Bi", "Sn"],
  "fractional_positions": [[0.000, 0.000, 0.000], [0.000, 0.500, 0.000], [0.000, 0.000, 0.500], [0.500, 0.000, 0.000], [0.500, 0.500, 0.500]],
  "sg": "Pm-3m (221)",
  "polymorph_energy_kj_per_mol_atoms": 114.74,
  "energy_ev_per_atom": -2.2929
}

=====

Record 3
{
  "formula": "KSn2Bi2",
  "functional": "PBE",
  "state": "relaxed",
  "lattice": [[-3.700, 1.283, 3.595], [-3.168, -3.825, -1.896], [-0.693, -5.728, 5.262]],
  "species": ["K", "Bi", "Bi", "Sn", "Sn"],
  "fractional_positions": [[0.000, 0.000, 0.000], [0.377, 0.377, 0.245], [0.623, 0.623, 0.755], [0.750, 0.250, 0.500], [0.250, 0.750, 0.500]],
  "sg": "I4/mmm (139)",
  "polymorph_energy_kj_per_mol_atoms": 0.00,
  "energy_ev_per_atom": -3.4955
}

=====

Record 4
{
  "formula": "K3SnBi3",
  "functional": "PBE",
  "state": "relaxed",
  "lattice": [[-3.293, -0.787, 7.195], [0.827, -7.781, -1.415], [8.950, 0.496, 3.880]],
  "species": ["K", "K", "K", "K", "K", "K", "Sn", "Sn", "Bi", "Bi", "Bi", "Bi", "Bi", "Bi"],
  "fractional_positions": [[0.616, 0.616, 0.363], [0.165, 0.835, 0.500], [0.835, 0.165, 0.500], [0.274, 0.726, 0.000], [0.726, 0.274, 0.000], [0.384, 0.384, 0.637], [0.853, 0.853, 0.878], [0.147, 0.147, 0.122], [0.877, 0.877, 0.180], [0.837, 0.554, 0.698], [0.554, 0.837, 0.698], [0.163, 0.446, 0.302], [0.446, 0.163, 0.302], [0.123, 0.123, 0.820]],
  "sg": "C2/m (12)",
  "polymorph_energy_kj_per_mol_atoms": 10.20,
  "energy_ev_per_atom": -2.9099
}